Entry 1:
Density functional theory data (PBE) for a relaxed structure of Sr2PdBr.

The energy above the most stable polymorph in this dataset is 19.1 meV/atom. The uncorrected formation energy is -1.07 eV per atom. For the size of the total moment, the calculation gives 0.0 μB/f.u. As for the total energy: -3.632 eV per atom.

It has space group R3m (No. 160, hexagonal axes), with a = 4.3459 Å, b = 4.3459 Å, c = 24.4255 Å, α = 90.00°, β = 90.00° and γ = 120.00°. The distinct sites, in fractional coordinates, are Sr at (0.0000, 0.0000, 0.0000), Sr at (0.0000, 0.0000, 0.1928), Pd at (0.0000, 0.0000, 0.5964) and Br at (0.0000, 0.0000, 0.4280).

=====

Entry 2:
Density functional theory data (PBE) for a relaxed structure of YErAlPd.

The energy above the most stable polymorph in this dataset is 45.0 meV/atom. For the size of the total moment, the calculation gives 0.0 μB/f.u. As for the total energy: -5.585 eV per atom.

It has space group F-43m (No. 216), with a = 7.1279 Å, b = 7.1279 Å, c = 7.1279 Å, α = 90.00°, β = 90.00° and γ = 90.00°. The distinct sites, in fractional coordinates, are Y at (0.0000, 0.0000, 0.0000), Er at (0.0000, 0.0000, 0.5000), Al at (0.2500, 0.2500, 0.7500) and Pd at (0.2500, 0.2500, 0.2500).

=====

Entry 3:
Density functional theory data (PBE) for a relaxed structure of Sm8TlTe4As3.

The uncorrected formation energy is -1.36 eV per atom. For the size of the total moment, the calculation gives 0.0 μB/f.u. As for the total energy: -5.520 eV per atom.

It has space group R-3m (No. 166, hexagonal axes), with a = 8.6936 Å, b = 8.6936 Å, c = 21.6335 Å, α = 90.00°, β = 90.00° and γ = 120.00°. The distinct sites, in fractional coordinates, are Sm at (0.0000, 0.0000, 0.2400), Sm at (0.0073, 0.5037, 0.7569), Tl at (0.0000, 0.0000, 0.5000), Te at (0.0000, 0.0000, 0.0000), Te at (0.0000, 0.5000, 0.0000) and As at (0.0000, 0.5000, 0.5000).

=====

Entry 4:
Density functional theory data (PBE) for a relaxed structure of EuMg2In.

The energy above the most stable polymorph in this dataset is 8.5 meV/atom. For the size of the total moment, the calculation gives 7.4 μB/f.u. As for the total energy: -4.240 eV per atom.

It has space group P4/mmm (No. 123), with a = 4.6739 Å, b = 4.6739 Å, c = 4.9526 Å, α = 90.00°, β = 90.00° and γ = 90.00°. The distinct sites, in fractional coordinates, are Eu at (0.0000, 0.0000, 0.0000), Mg at (0.0000, 0.5000, 0.5000) and In at (0.5000, 0.5000, 0.0000).

=====

Entry 5:
Density functional theory data (PBE) for a relaxed structure of Tb4NiIr3.

For the size of the total moment, the calculation gives 0.0 μB/f.u. As for the total energy: -7.055 eV per atom.

It has space group Pmmm (No. 47), with a = 3.3417 Å, b = 4.9241 Å, c = 9.8405 Å, α = 90.00°, β = 90.00° and γ = 90.00°. The distinct sites, in fractional coordinates, are Tb at (0.0000, 0.0000, 0.0000), Tb at (0.0000, 0.0000, 0.5000), Tb at (0.0000, 0.5000, 0.2486), Ni at (0.5000, 0.5000, 0.0000), Ir at (0.5000, 0.0000, 0.2481) and Ir at (0.5000, 0.5000, 0.5000).

=====

Entry 6:
Density functional theory data (PBE) for a relaxed structure of Al2Pd2Pt.

The energy above the most stable polymorph in this dataset is 0.0 meV/atom. For the size of the total moment, the calculation gives 0.0 μB/f.u. As for the total energy: -5.635 eV per atom.

It has space group Cmc2_1 (No. 36), with a = 4.1352 Å, b = 13.6620 Å, c = 5.3384 Å, α = 90.00°, β = 90.00° and γ = 90.00°. The distinct sites, in fractional coordinates, are Al at (0.0000, 0.0722, 0.0000), Al at (0.0000, 0.2928, 0.1593), Pd at (0.0000, 0.3215, 0.6413), Pd at (0.0000, 0.4769, 0.2561) and Pt at (0.0000, 0.1201, 0.4718).